The following is a PBE-GGA calculation of crystalline Tb5DyTe4 at its relaxed geometry, from Alexandria via LeMat-Bulk.

Computed properties:
Calculated density = 7675 kg/m3
SG = C2/m
Raw formation energy = -927.6 meV/atom

Cell: 4.168 8.523 9.382 Å, 101.98 102.84 90.00°
Element x y z (fractional)
Te 0.011 0.255 0.022
Te 0.989 0.745 0.978
Te 0.332 0.932 0.665
Te 0.668 0.068 0.335
Tb 0.812 0.641 0.625
Tb 0.188 0.359 0.375
Tb 0.836 0.210 0.672
Tb 0.500 0.500 0.000
Tb 0.164 0.790 0.328
Dy 0.500 0.000 0.000